Density functional theory data (PBEsol) for SrNi5P3 after structural relaxation.

Calculated values
Crystal system: orthorhombic
Space group: Cmcm, No. 63

Lattice parameters (Å, degrees): 3.5662 6.0729 11.4604 90.00 90.00 107.07
Last column: nearest neighbours and their distance in Å.
Fractional positions:
Sr 0.8376 0.6753 0.2500  7 P 3.06-3.22, 10 Ni 3.19-3.43
Sr 0.1624 0.3247 0.7500  7 P 3.06-3.22, 10 Ni 3.19-3.43
Ni 0.5499 0.0998 0.1451  4 P 2.24-2.31, 1 Ni 2.40
Ni 0.5499 0.0998 0.3549  4 P 2.24-2.31, 1 Ni 2.40
Ni 0.1976 0.3952 0.4319  4 P 2.16-2.34
Ni 0.8024 0.6048 0.5681  4 P 2.16-2.34
Ni 0.8024 0.6048 0.9319  4 P 2.16-2.34
Ni 0.1976 0.3952 0.0681  4 P 2.16-2.34
Ni 0.0000 0.0000 0.0000  4 P 2.29, 6 Ni 2.42-2.51
Ni 0.0000 0.0000 0.5000  4 P 2.29, 6 Ni 2.42-2.51
Ni 0.4501 0.9002 0.6451  4 P 2.24-2.31, 1 Ni 2.40
Ni 0.4501 0.9002 0.8549  4 P 2.24-2.31, 1 Ni 2.40
P 0.1147 0.2294 0.2500  6 Ni 2.28-2.30
P 0.8853 0.7706 0.7500  6 Ni 2.28-2.30
P 0.6186 0.2373 0.5373  7 Ni 2.16-2.34
P 0.3814 0.7627 0.4627  7 Ni 2.16-2.34
P 0.3814 0.7627 0.0373  7 Ni 2.16-2.34
P 0.6186 0.2373 0.9627  7 Ni 2.16-2.34

=====

Density functional theory data (PBEsol) for SrNiP3 after structural relaxation.

Calculated values
Crystal system: cubic
Space group: Pm-3m, No. 221

Lattice parameters (Å, degrees): 5.2234 5.2234 5.2234 90.00 90.00 90.00
Last column: nearest neighbours and their distance in Å.
Fractional positions:
Sr 0.0000 0.0000 0.0000  6 P 2.61
P 0.0000 0.5000 0.0000  2 Sr 2.61
P 0.0000 0.0000 0.5000  2 Sr 2.61
P 0.5000 0.0000 0.0000  2 Sr 2.61
Ni 0.5000 0.5000 0.5000  12 P 3.69

=====

Number 1: energy relative to the elements -677 kJ/mol of formula units. Number 2: energy relative to the elements 945 kJ/mol of formula units.